Entry 1:
The following is a DFT calculation (GGA-PBEsol) of crystalline Co3Ni9P4 at its relaxed geometry.

Computed properties:
energy of formation from the pure elements: -457 meV per atom
mass density: 8.19 g/cm3

Unit cell a=4.293 b=6.610 c=6.611 alpha=84.20 beta=71.11 gamma=71.17
Space group P1 (No. 1)
Asymmetric unit:
Co: 0.000 0.000 0.000 x1
Co: 0.211 0.640 0.936 x1
Co: 0.532 0.785 0.154 x1
Ni: 0.245 0.487 0.569 x1
Ni: 0.273 0.871 0.575 x1
Ni: 0.400 0.209 0.016 x1
Ni: 0.518 0.153 0.363 x1
Ni: 0.692 0.854 0.783 x1
Ni: 0.804 0.218 0.633 x1
Ni: 0.838 0.431 0.916 x1
Ni: 0.872 0.420 0.299 x1
Ni: 0.928 0.769 0.357 x1
P: 0.093 0.057 0.300 x1
P: 0.290 0.155 0.728 x1
P: 0.389 0.486 0.206 x1
P: 0.662 0.582 0.634 x1

---

Entry 2:
The following is a DFT calculation (GGA-PBEsol) of crystalline Al2Si2Pb at its relaxed geometry.

Computed properties:
VASP energy: -4.597 eV per atom
mass density: 5.42 g/cm3

Unit cell a=4.452 b=4.452 c=9.817 alpha=90.00 beta=90.00 gamma=90.00
Space group I4/mmm (No. 139)
Asymmetric unit:
Al: 0.000 0.500 0.250 x4
Si: 0.000 0.000 0.120 x4
Pb: 0.000 0.000 0.500 x2

---

Entry 3:
The following is a DFT calculation (GGA-PBEsol) of crystalline TcTeIr2 at its relaxed geometry.

Computed properties:
VASP energy: -8.221 eV per atom
mass density: 16.31 g/cm3

Unit cell a=3.952 b=3.952 c=7.955 alpha=90.00 beta=90.00 gamma=90.00
Space group I4/mmm (No. 139)
Asymmetric unit:
Tc: 0.000 0.000 0.000 x2
Te: 0.000 0.000 0.500 x2
Ir: 0.000 0.500 0.250 x4

---

Entry 4:
The following is a DFT calculation (GGA-PBEsol) of crystalline HgPd3 at its relaxed geometry.

Computed properties:
energy of formation from the pure elements: -157 meV per atom
mass density: 13.77 g/cm3

Unit cell a=3.965 b=3.965 c=7.974 alpha=90.00 beta=90.00 gamma=90.00
Space group I4/mmm (No. 139)
Asymmetric unit:
Hg: 0.000 0.000 0.000 x2
Pd: 0.000 0.000 0.500 x2
Pd: 0.000 0.500 0.250 x4

---

Entry 5:
The following is a DFT calculation (GGA-PBEsol) of crystalline TePtPbI2 at its relaxed geometry.

Computed properties:
VASP energy: -3.598 eV per atom
mass density: 8.46 g/cm3

Unit cell a=5.335 b=5.335 c=5.403 alpha=90.00 beta=90.00 gamma=90.00
Space group P4/mmm (No. 123)
Asymmetric unit:
Te: 0.000 0.000 0.000 x1
Pt: 0.000 0.000 0.500 x1
Pb: 0.500 0.500 0.000 x1
I: 0.000 0.500 0.500 x2

---

Entry 6:
The following is a DFT calculation (GGA-PBEsol) of crystalline AlTcMo2 at its relaxed geometry.

Computed properties:
energy of formation from the pure elements: -212 meV per atom
mass density: 9.05 g/cm3

Unit cell a=3.106 b=4.239 c=8.836 alpha=90.00 beta=90.00 gamma=90.00
Space group Immm (No. 71)
Asymmetric unit:
Al: 0.000 0.000 0.000 x2
Tc: 0.000 0.000 0.500 x2
Mo: 0.000 0.500 0.242 x4